Entry 1:
Compound: BeHgBr2
Source: Alexandria via LeMat-Bulk
Functional: SCAN
Structure: single point on PBEsol structure

Output
crystal system: tetragonal
volume: 27.281 Å³ per atom
D(E_F): 0.0000 states/eV per atom
DFT total energy: -28.51 eV per atom

a b c (Å): 6.6565 6.6565 6.6565
angles (deg): 96.20 116.49 116.49
Positions (direct):
Br1 0.1432 0.2682 0.6250
Be1 0.0000 0.5000 0.5000
Br2 0.8568 0.4818 0.1250
Br3 0.3568 0.8750 0.7318
Hg1 0.0000 0.0000 0.0000
Br4 0.6432 0.3750 0.5182
Be2 0.5000 0.2500 0.7500
Hg2 0.5000 0.7500 0.2500

Entry 2:
Compound: BeHgBrO2
Source: Alexandria via LeMat-Bulk
Functional: SCAN
Structure: single point on PBEsol structure

Output
crystal system: tetragonal
volume: 16.999 Å³ per atom
D(E_F): 0.3093 states/eV per atom
DFT total energy: -20.16 eV per atom

a b c (Å): 3.7615 3.7615 6.0072
angles (deg): 90.00 90.00 90.00
Positions (direct):
Be1 0.5000 0.5000 0.5000
O1 0.0000 0.5000 0.0000
Hg1 0.0000 0.0000 0.5000
O2 0.5000 0.0000 0.0000
Br1 0.0000 0.0000 0.0000

Entry 3:
Compound: BeTe2IBr
Source: Alexandria via LeMat-Bulk
Functional: SCAN
Structure: single point on PBEsol structure

Output
crystal system: tetragonal
volume: 25.376 Å³ per atom
D(E_F): 0.6467 states/eV per atom
DFT total energy: -26.67 eV per atom

a b c (Å): 5.0229 5.0260 5.0260
angles (deg): 90.00 90.00 90.00
Positions (direct):
Te1 0.0000 0.0000 0.5000
Br1 0.5000 0.5000 0.5000
I1 0.5000 0.0000 0.0000
Te2 0.0000 0.5000 0.0000
Be1 0.0000 0.0000 0.0000

Entry 4:
Compound: BeInBr2
Source: Alexandria via LeMat-Bulk
Functional: SCAN
Structure: single point on PBEsol structure

Output
crystal system: orthorhombic
volume: 25.071 Å³ per atom
D(E_F): 0.1013 states/eV per atom
DFT total energy: -19.48 eV per atom

a b c (Å): 3.4422 3.6995 8.8966
angles (deg): 90.00 90.00 117.72
Positions (direct):
Br1 0.5000 0.0000 0.2937
Br2 0.0000 0.0000 0.9166
In1 0.0000 0.0000 0.5308
Be1 0.5000 0.0000 0.7589

Entry 5:
Compound: BeInBr2
Source: Alexandria via LeMat-Bulk
Functional: SCAN
Structure: single point on PBEsol structure

Output
crystal system: tetragonal
volume: 23.939 Å³ per atom
D(E_F): 0.3783 states/eV per atom
DFT total energy: -18.92 eV per atom

a b c (Å): 3.6383 5.1302 5.1302
angles (deg): 90.00 90.00 90.00
Each line ends with the local moment (μB).
Positions (direct):
Br1 0.0000 0.5000 0.0000  -0.04
Be1 0.5000 0.0000 0.0000  -0.16
Br2 0.0000 0.0000 0.5000  -0.04
In1 0.5000 0.5000 0.5000  0.00

Entry 6:
Compound: Be3InBr
Source: Alexandria via LeMat-Bulk
Functional: SCAN
Structure: single point on PBEsol structure

Output
crystal system: cubic
volume: 17.831 Å³ per atom
D(E_F): 0.7324 states/eV per atom
DFT total energy: -11.85 eV per atom

a b c (Å): 4.4673 4.4673 4.4673
angles (deg): 90.00 90.00 90.00
Positions (direct):
Be1 0.5000 0.0000 0.0000
Br1 0.0000 0.0000 0.0000
Be2 0.0000 0.5000 0.0000
Be3 0.0000 0.0000 0.5000
In1 0.5000 0.5000 0.5000

Entry 7:
Compound: BeInBr2
Source: Alexandria via LeMat-Bulk
Functional: SCAN
Structure: single point on PBEsol structure

Output
crystal system: tetragonal
volume: 24.708 Å³ per atom
D(E_F): 0.2789 states/eV per atom
DFT total energy: -19.49 eV per atom

a b c (Å): 3.3571 3.3571 8.7696
angles (deg): 90.00 90.00 90.00
Positions (direct):
Be1 0.5000 0.5000 0.9581
Br1 0.5000 0.5000 0.1911
In1 0.0000 0.0000 0.4820
Br2 0.0000 0.0000 0.8689

Entry 8:
Compound: Be2IrBr
Source: Alexandria via LeMat-Bulk
Functional: SCAN
Structure: single point on PBEsol structure

Output
crystal system: tetragonal
volume: 15.208 Å³ per atom
D(E_F): 0.0975 states/eV per atom
DFT total energy: -24.88 eV per atom

a b c (Å): 3.0852 3.0852 6.3913
angles (deg): 90.00 90.00 90.00
Positions (direct):
Be1 0.0000 0.0000 0.9821
Br1 0.0000 0.0000 0.4038
Ir1 0.5000 0.5000 0.8929
Be2 0.5000 0.5000 0.2211

Entry 9:
Compound: BeIr4Br
Source: Alexandria via LeMat-Bulk
Functional: SCAN
Structure: single point on PBEsol structure

Output
crystal system: cubic
volume: 16.255 Å³ per atom
D(E_F): 1.6332 states/eV per atom
DFT total energy: -50.16 eV per atom

a b c (Å): 5.1668 5.1668 5.1668
angles (deg): 60.00 60.00 60.00
Positions (direct):
Ir1 0.3757 0.3757 0.8730
Ir2 0.3757 0.3757 0.3757
Ir3 0.8730 0.3757 0.3757
Ir4 0.3757 0.8730 0.3757
Br1 0.0000 0.0000 0.0000
Be1 0.7500 0.7500 0.7500

Entry 10:
Compound: BeIr2Br
Source: Alexandria via LeMat-Bulk
Functional: SCAN
Structure: single point on PBEsol structure

Output
crystal system: cubic
volume: 13.784 Å³ per atom
D(E_F): 0.8737 states/eV per atom
DFT total energy: -40.50 eV per atom

a b c (Å): 4.2721 4.2721 4.2721
angles (deg): 60.00 60.00 60.00
Positions (direct):
Ir1 0.2500 0.2500 0.2500
Br1 0.5000 0.5000 0.5000
Be1 0.0000 0.0000 0.0000
Ir2 0.7500 0.7500 0.7500

Entry 11:
Compound: BeIr2Br
Source: Alexandria via LeMat-Bulk
Functional: SCAN
Structure: single point on PBEsol structure

Output
crystal system: monoclinic
volume: 16.826 Å³ per atom
D(E_F): 0.5366 states/eV per atom
DFT total energy: -41.26 eV per atom

a b c (Å): 2.7206 3.5467 7.0804
angles (deg): 90.00 99.89 90.00
Positions (direct):
Ir1 0.2173 0.0000 0.0514
Ir2 0.8124 0.5000 0.2637
Be1 0.3654 0.0000 0.3842
Br1 0.1050 0.5000 0.8008

Entry 12:
Compound: Be2IrBr
Source: Alexandria via LeMat-Bulk
Functional: SCAN
Structure: single point on PBEsol structure

Output
crystal system: cubic
volume: 12.740 Å³ per atom
D(E_F): 0.2954 states/eV per atom
DFT total energy: -23.99 eV per atom

a b c (Å): 4.1615 4.1615 4.1615
angles (deg): 60.00 60.00 60.00
Positions (direct):
Br1 0.0000 0.0000 0.0000
Ir1 0.5000 0.5000 0.5000
Be1 0.2500 0.2500 0.2500
Be2 0.7500 0.7500 0.7500

Entry 13:
Compound: BeIrBr2
Source: Alexandria via LeMat-Bulk
Functional: SCAN
Structure: single point on PBEsol structure

Output
crystal system: trigonal
volume: 17.067 Å³ per atom
D(E_F): 0.3645 states/eV per atom
DFT total energy: -28.13 eV per atom

a b c (Å): 3.2301 3.2301 7.7821
angles (deg): 78.02 78.02 60.00
Positions (direct):
Ir1 0.0000 0.0000 0.0000
Be1 0.5000 0.5000 0.5000
Br1 0.8948 0.8948 0.3157
Br2 0.1052 0.1052 0.6843

Entry 14:
Compound: Be2IrBr
Source: Alexandria via LeMat-Bulk
Functional: SCAN
Structure: single point on PBEsol structure

Output
crystal system: tetragonal
volume: 14.313 Å³ per atom
D(E_F): 0.2738 states/eV per atom
DFT total energy: -24.25 eV per atom

a b c (Å): 3.1928 3.1928 6.0531
angles (deg): 105.29 105.29 90.00
Positions (direct):
Ir1 0.2500 0.7500 0.5000
Br1 0.5000 0.5000 0.0000
Be1 0.7500 0.2500 0.5000
Be2 0.0000 0.0000 0.0000

Entry 15:
Compound: BeIrSeBr2
Source: Alexandria via LeMat-Bulk
Functional: SCAN
Structure: single point on PBEsol structure

Output
crystal system: tetragonal
volume: 24.488 Å³ per atom
D(E_F): 0.4968 states/eV per atom
DFT total energy: -26.12 eV per atom

a b c (Å): 4.6408 5.1365 5.1365
angles (deg): 90.00 90.00 90.00
Positions (direct):
Be1 0.5000 0.5000 0.5000
Ir1 0.0000 0.0000 0.0000
Br1 0.0000 0.5000 0.0000
Se1 0.5000 0.0000 0.0000
Br2 0.0000 0.0000 0.5000

Entry 16:
Compound: KBeBr2
Source: Alexandria via LeMat-Bulk
Functional: SCAN
Structure: single point on PBEsol structure

Output
crystal system: monoclinic
volume: 31.380 Å³ per atom
D(E_F): 0.2199 states/eV per atom
DFT total energy: -13.68 eV per atom

a b c (Å): 4.5728 4.6496 6.5483
angles (deg): 104.81 110.44 90.00
Positions (direct):
Be1 0.2100 0.3374 0.4199
Br1 0.0303 0.1302 0.0607
Br2 0.7639 0.4243 0.5278
K1 0.4958 0.6081 0.9916

Entry 17:
Compound: K4BeBr
Source: Alexandria via LeMat-Bulk
Functional: SCAN
Structure: single point on PBEsol structure

Output
crystal system: cubic
volume: 49.043 Å³ per atom
D(E_F): 0.5699 states/eV per atom
DFT total energy: -9.23 eV per atom

a b c (Å): 7.4659 7.4659 7.4659
angles (deg): 60.00 60.00 60.00
Positions (direct):
Be1 0.7500 0.7500 0.7500
K1 0.3746 0.3746 0.3746
Br1 0.0000 0.0000 0.0000
K2 0.8761 0.3746 0.3746
K3 0.3746 0.3746 0.8761
K4 0.3746 0.8761 0.3746

Entry 18:
Compound: KBe2Br
Source: Alexandria via LeMat-Bulk
Functional: SCAN
Structure: single point on PBEsol structure

Output
crystal system: orthorhombic
volume: 24.745 Å³ per atom
D(E_F): 0.2988 states/eV per atom
DFT total energy: -8.61 eV per atom

a b c (Å): 3.8051 4.2437 6.1296
angles (deg): 90.00 90.00 90.00
Positions (direct):
Be1 0.0000 0.0000 0.0000
Be2 0.5000 0.5000 0.0000
Br1 0.5000 0.0000 0.5000
K1 0.0000 0.5000 0.5000

Entry 19:
Compound: KBeBr2
Source: Alexandria via LeMat-Bulk
Functional: SCAN
Structure: single point on PBEsol structure

Output
crystal system: tetragonal
volume: 33.799 Å³ per atom
D(E_F): 0.1434 states/eV per atom
DFT total energy: -13.54 eV per atom

a b c (Å): 6.4654 6.4654 7.9210
angles (deg): 114.09 114.09 90.00
Positions (direct):
Br1 0.4909 0.8750 0.2500
Be1 0.5000 0.5000 0.0000
K1 0.2500 0.7500 0.5000
Br2 0.1250 0.2409 0.7500
Br3 0.7591 0.3750 0.2500
Be2 0.7500 0.2500 0.5000
Br4 0.6250 0.5091 0.7500
K2 0.0000 0.0000 0.0000

Entry 20:
Compound: LaBe2Br
Source: Alexandria via LeMat-Bulk
Functional: SCAN
Structure: single point on PBEsol structure

Output
crystal system: trigonal
volume: 20.091 Å³ per atom
D(E_F): 0.4669 states/eV per atom
DFT total energy: -17.30 eV per atom

a b c (Å): 3.3080 3.3080 8.6926
angles (deg): 79.03 79.03 60.00
Each line ends with the local moment (μB).
Positions (direct):
Br1 0.5000 0.5000 0.5000  0.00
La1 0.0000 0.0000 0.0000  0.25
Be1 0.7645 0.7645 0.7065  0.00
Be2 0.2355 0.2355 0.2935  0.00

Short version: M_tot = 0.0, 0.0, 0.0, 0.0, 0.5, 0.0, 0.0, 0.0, 0.0, 0.0, 0.0, 0.0, 0.0, 0.0, 0.0, 0.0, 0.0, 0.0, 0.0, 0.5 μB per formula unit, in the order given.
Short version: energy relative to the elements, uncorrected = -2.594, 3.650, 1.683, -1.272, 0.973, 6.641, -1.290, -0.235, 7.225, 4.010, 0.989, 3.292, 1.847, 2.270, 3.833, -3.124, 1.755, 2.038, -2.569, 2.076 eV/f.u., in the order given.